# ZrCd2Te, relaxed, DFT GGA-PBE
data_ZrCd2Te
_chemical_formula_sum 'Zr1 Cd2 Te1'
_space_group_name_H-M_alt 'P 1'
_space_group_IT_number 1
_space_group_name_Hall 'P 1'
_cell_length_a 4.0266
_cell_length_b 4.0266
_cell_length_c 5.8636
_cell_angle_alpha 90.00
_cell_angle_beta 90.00
_cell_angle_gamma 90.00
loop_
_atom_site_label
_atom_site_type_symbol
_atom_site_fract_x
_atom_site_fract_y
_atom_site_fract_z
Zr1 Zr 0.0000 0.0000 0.0000
Cd1 Cd 0.5000 0.5000 0.2411
Cd2 Cd 0.5000 0.5000 0.7589
Te1 Te 0.0000 0.0000 0.5000
# Space-group type: P4/mmm
# ΔE_f (raw) in eV/atom: -0.07



# Mn3SiAu, relaxed, DFT GGA-PBE
data_Mn3SiAu
_chemical_formula_sum 'Mn3 Si1 Au1'
_space_group_name_H-M_alt 'P 1'
_space_group_IT_number 1
_space_group_name_Hall 'P 1'
_cell_length_a 4.1799
_cell_length_b 4.1799
_cell_length_c 4.1799
_cell_angle_alpha 90.00
_cell_angle_beta 90.00
_cell_angle_gamma 90.00
loop_
_atom_site_label
_atom_site_type_symbol
_atom_site_fract_x
_atom_site_fract_y
_atom_site_fract_z
Mn1 Mn 0.0000 0.0000 0.5000
Mn2 Mn 0.0000 0.5000 0.0000
Mn3 Mn 0.5000 0.0000 0.0000
Si1 Si 0.0000 0.0000 0.0000
Au1 Au 0.5000 0.5000 0.5000
# Space-group type: Pm-3m
# ΔE_f (raw) in eV/atom: 0.97



# La6FeSn2, relaxed, DFT GGA-PBE
data_La6FeSn2
_chemical_formula_sum 'La6 Fe1 Sn2'
_space_group_name_H-M_alt 'P 1'
_space_group_IT_number 1
_space_group_name_Hall 'P 1'
_cell_length_a 7.3265
_cell_length_b 7.3265
_cell_length_c 7.3265
_cell_angle_alpha 120.05
_cell_angle_beta 120.05
_cell_angle_gamma 89.92
loop_
_atom_site_label
_atom_site_type_symbol
_atom_site_fract_x
_atom_site_fract_y
_atom_site_fract_z
La1 La 0.2489 0.2489 0.0000
La2 La 0.2538 0.2538 0.5077
La3 La 0.2538 0.7462 0.0000
La4 La 0.7462 0.2538 0.0000
La5 La 0.7462 0.7462 0.4923
La6 La 0.7511 0.7511 0.0000
Fe1 Fe 0.0000 0.0000 0.0000
Sn1 Sn 0.2500 0.7500 0.5000
Sn2 Sn 0.7500 0.2500 0.5000
# Space-group type: I4/mmm
# DFT total energy in eV per atom: -5.5635



# MgRe, relaxed, DFT GGA-PBE
data_MgRe
_chemical_formula_sum 'Mg1 Re1'
_space_group_name_H-M_alt 'P 1'
_space_group_IT_number 1
_space_group_name_Hall 'P 1'
_cell_length_a 2.8061
_cell_length_b 2.8061
_cell_length_c 4.7190
_cell_angle_alpha 90.00
_cell_angle_beta 90.00
_cell_angle_gamma 120.00
loop_
_atom_site_label
_atom_site_type_symbol
_atom_site_fract_x
_atom_site_fract_y
_atom_site_fract_z
Mg1 Mg 0.0000 0.0000 0.0000
Re1 Re 0.6667 0.3333 0.5000
# Space-group type: P-6m2
# DFT total energy in eV per atom: -6.6598



# BaBPd2Pt, relaxed, DFT GGA-PBE
data_BaBPd2Pt
_chemical_formula_sum 'Ba1 B1 Pd2 Pt1'
_space_group_name_H-M_alt 'P 1'
_space_group_IT_number 1
_space_group_name_Hall 'P 1'
_cell_length_a 4.5889
_cell_length_b 4.5889
_cell_length_c 4.3221
_cell_angle_alpha 90.00
_cell_angle_beta 90.00
_cell_angle_gamma 90.00
loop_
_atom_site_label
_atom_site_type_symbol
_atom_site_fract_x
_atom_site_fract_y
_atom_site_fract_z
Ba1 Ba 0.0000 0.0000 0.0000
B1 B 0.5000 0.5000 0.5000
Pd1 Pd 0.0000 0.5000 0.5000
Pd2 Pd 0.5000 0.0000 0.5000
Pt1 Pt 0.5000 0.5000 0.0000
# Space-group type: P4/mmm
# DFT total energy in eV per atom: -5.3566



# La2ScGeH, relaxed, DFT GGA-PBE
data_La2ScGeH
_chemical_formula_sum 'La2 Sc1 Ge1 H1'
_space_group_name_H-M_alt 'P 1'
_space_group_IT_number 1
_space_group_name_Hall 'P 1'
_cell_length_a 4.8314
_cell_length_b 4.8314
_cell_length_c 4.6781
_cell_angle_alpha 90.00
_cell_angle_beta 90.00
_cell_angle_gamma 90.00
loop_
_atom_site_label
_atom_site_type_symbol
_atom_site_fract_x
_atom_site_fract_y
_atom_site_fract_z
La1 La 0.0000 0.5000 0.0000
La2 La 0.5000 0.0000 0.0000
Sc1 Sc 0.0000 0.0000 0.5000
Ge1 Ge 0.5000 0.5000 0.5000
H1 H 0.0000 0.0000 0.0000
# Space-group type: P4/mmm
# DFT total energy in eV per atom: -5.2398



# HfZnSe2O, relaxed, DFT GGA-PBE
data_HfZnSe2O
_chemical_formula_sum 'Hf1 Zn1 Se2 O1'
_space_group_name_H-M_alt 'P 1'
_space_group_IT_number 1
_space_group_name_Hall 'P 1'
_cell_length_a 5.1926
_cell_length_b 5.1926
_cell_length_c 3.8590
_cell_angle_alpha 90.00
_cell_angle_beta 90.00
_cell_angle_gamma 90.00
loop_
_atom_site_label
_atom_site_type_symbol
_atom_site_fract_x
_atom_site_fract_y
_atom_site_fract_z
Hf1 Hf 0.0000 0.0000 0.0000
Zn1 Zn 0.5000 0.5000 0.0000
Se1 Se 0.0000 0.5000 0.5000
Se2 Se 0.5000 0.0000 0.5000
O1 O 0.0000 0.0000 0.5000
# Space-group type: P4/mmm
# ΔE_f (raw) in eV/atom: -0.40



# LaTb7Ho4, relaxed, DFT GGA-PBE
data_LaTb7Ho4
_chemical_formula_sum 'La1 Tb7 Ho4'
_space_group_name_H-M_alt 'P 1'
_space_group_IT_number 1
_space_group_name_Hall 'P 1'
_cell_length_a 6.2197
_cell_length_b 7.1918
_cell_length_c 8.8594
_cell_angle_alpha 89.99
_cell_angle_beta 76.44
_cell_angle_gamma 89.99
loop_
_atom_site_label
_atom_site_type_symbol
_atom_site_fract_x
_atom_site_fract_y
_atom_site_fract_z
La1 La 0.0000 0.0000 0.0000
Tb1 Tb 0.0000 0.5000 0.0000
Tb2 Tb 0.2231 0.0004 0.3356
Tb3 Tb 0.2791 0.7478 0.6637
Tb4 Tb 0.5001 0.2525 0.9997
Tb5 Tb 0.4999 0.7475 0.0003
Tb6 Tb 0.7209 0.2522 0.3363
Tb7 Tb 0.7769 0.9996 0.6644
Ho1 Ho 0.2202 0.5003 0.3347
Ho2 Ho 0.2784 0.2522 0.6643
Ho3 Ho 0.7216 0.7478 0.3357
Ho4 Ho 0.7798 0.4997 0.6653
# Space-group type: P-1
# DFT total energy in eV per atom: -4.6375